Compound: LaDy2Er
Source: the Alexandria database
Functional: PBE-GGA
Structure: relaxed

```
LaDy2Er
1.0
0.0000 4.0466 4.0466
4.0466 0.0000 4.0466
4.0466 4.0466 0.0000
La Dy Er
1 2 1
direct
0.0000 0.0000 0.0000
0.2500 0.2500 0.2500
0.7500 0.7500 0.7500
0.5000 0.5000 0.5000
```

Its magnetic moment is 0.00 μB/f.u. Its density of states at the Fermi level is 1.910 states/eV per atom. For the excess energy over the best structure of this formula in the dataset, the calculation gives 125 meV per atom. As for the formation energy: 0.53 eV/f.u. The value obtained for the total energy is -4.54 eV/atom.